A plane-wave DFT calculation with PBE with a Hubbard U was carried out for an optimized crystal structure of Li4Si2NiO7.

Output
M_tot = 2.03 μB per formula unit
space-group type = Cc, No. 9
polymorph energy (0 for the lowest one) = 0 meV per atom

abc: 7.202 7.202 8.036
angles: 84.77 84.77 44.66
Each line ends with the local moment (μB).
Element x y z (fractional)
Li 0.416 0.734 0.123  0.00
Li 0.734 0.416 0.623  0.00
Li 0.537 0.880 0.403  0.00
Li 0.880 0.537 0.903  0.00
Li 0.424 0.133 0.053  0.00
Li 0.133 0.424 0.553  0.00
Li 0.819 0.190 0.976  0.00
Li 0.190 0.819 0.476  0.00
Si 0.966 0.307 0.260  0.00
Si 0.307 0.966 0.760  0.00
Si 0.593 0.257 0.332  0.00
Si 0.257 0.593 0.832  0.00
Ni 0.014 0.693 0.203  1.79
Ni 0.693 0.014 0.703  1.79
O 0.837 0.219 0.398  0.00
O 0.219 0.837 0.898  0.00
O 0.793 0.428 0.094  0.01
O 0.428 0.793 0.594  0.01
O 0.278 0.044 0.228  0.01
O 0.044 0.278 0.728  0.01
O 0.919 0.534 0.353  0.04
O 0.534 0.919 0.853  0.04
O 0.526 0.142 0.485  0.03
O 0.142 0.526 0.985  0.03
O 0.702 0.080 0.166  0.02
O 0.080 0.702 0.666  0.02
O 0.332 0.572 0.294  0.03
O 0.572 0.332 0.794  0.03